No. 1
Entry from Alexandria: a relaxed structure of Na8Cd2Hg (PBE).

Cell lengths 9.330, 9.330, 6.894 Å; angles 94.26, 94.26, 32.22 degrees
Fractional coordinates of all 11 atoms:
1 Na 0.049 0.049 0.248
2 Na 0.142 0.142 0.693
3 Na 0.319 0.319 0.600
4 Na 0.406 0.406 0.058
5 Na 0.594 0.594 0.942
6 Na 0.681 0.681 0.400
7 Na 0.858 0.858 0.307
8 Na 0.951 0.951 0.752
9 Cd 0.229 0.229 0.118
10 Cd 0.771 0.771 0.882
11 Hg 0.500 0.500 0.500

Output
**V**: 318.9 Å³ per cell
**DOS at the Fermi energy**: 3.8 states/eV per cell
**DFT total energy**: -1.231 eV per atom
**ΔE_f**: -0.078 eV/atom
**Magnetic moment**: 0.000 μB/cell
**Relative energy among the computed polymorphs**: 0 meV per atom
**Space group**: C2/m, No. 12

No. 2
Entry from Alexandria: a relaxed structure of NaCd6Hg5 (PBE).

Cell lengths 5.450, 5.450, 11.482 Å; angles 93.87, 93.87, 121.28 degrees
Fractional coordinates of all 12 atoms:
1 Na 0.000 0.000 0.000
2 Cd 0.030 0.363 0.254
3 Cd 0.309 0.309 0.761
4 Cd 0.363 0.030 0.254
5 Cd 0.637 0.970 0.746
6 Cd 0.691 0.691 0.239
7 Cd 0.970 0.637 0.746
8 Hg 0.166 0.834 0.500
9 Hg 0.330 0.670 0.000
10 Hg 0.500 0.500 0.500
11 Hg 0.670 0.330 0.000
12 Hg 0.834 0.166 0.500

Output
**V**: 288.7 Å³ per cell
**DOS at the Fermi energy**: 4.6 states/eV per cell
**DFT total energy**: -0.719 eV per atom
**ΔE_f**: -0.025 eV/atom
**Magnetic moment**: 0.000 μB/cell
**Space group**: C2/m, No. 12

No. 3
Entry from Alexandria: a relaxed structure of Na5Cd2Hg2 (PBE).

Cell lengths 9.217, 9.217, 7.952 Å; angles 90.00, 90.00, 51.84 degrees
Fractional coordinates of all 18 atoms:
1 Na 0.000 0.000 0.000
2 Na 0.046 0.687 0.677
3 Na 0.187 0.546 0.177
4 Na 0.313 0.954 0.677
5 Na 0.454 0.813 0.177
6 Na 0.500 0.500 0.500
7 Na 0.546 0.187 0.823
8 Na 0.687 0.046 0.323
9 Na 0.813 0.454 0.823
10 Na 0.954 0.313 0.323
11 Cd 0.218 0.218 0.000
12 Cd 0.282 0.282 0.500
13 Cd 0.718 0.718 0.500
14 Cd 0.782 0.782 0.000
15 Hg 0.130 0.870 0.371
16 Hg 0.370 0.630 0.871
17 Hg 0.630 0.370 0.129
18 Hg 0.870 0.130 0.629

Output
**V**: 531.1 Å³ per cell
**DOS at the Fermi energy**: 8.6 states/eV per cell
**DFT total energy**: -1.100 eV per atom
**ΔE_f**: -0.097 eV/atom
**Magnetic moment**: 0.000 μB/cell
**Relative energy among the computed polymorphs**: 14 meV per atom
**Space group**: Cmce, No. 64

No. 4
Entry from Alexandria: a relaxed structure of Na3CdHg (PBE).

Cell lengths 5.737, 5.737, 5.737 Å; angles 90.00, 90.00, 90.00 degrees
Fractional coordinates of all 5 atoms:
1 Na 0.000 0.000 0.500
2 Na 0.000 0.500 0.000
3 Na 0.500 0.000 0.000
4 Cd 0.500 0.500 0.500
5 Hg 0.000 0.000 0.000

Output
**V**: 188.8 Å³ per cell
**DOS at the Fermi energy**: 2.7 states/eV per cell
**DFT total energy**: -0.944 eV per atom
**ΔE_f**: 0.091 eV/atom
**Magnetic moment**: 0.000 μB/cell
**Relative energy among the computed polymorphs**: 203 meV per atom
**Space group**: Pm-3m, No. 221

No. 5
Entry from Alexandria: a relaxed structure of NaCd2Hg2 (PBE).

Cell lengths 4.345, 4.345, 14.118 Å; angles 90.00, 90.00, 90.00 degrees
Fractional coordinates of all 10 atoms:
1 Na 0.000 0.000 0.000
2 Na 0.500 0.500 0.500
3 Cd 0.000 0.500 0.250
4 Cd 0.000 0.500 0.750
5 Cd 0.500 0.000 0.250
6 Cd 0.500 0.000 0.750
7 Hg 0.000 0.000 0.399
8 Hg 0.000 0.000 0.601
9 Hg 0.500 0.500 0.101
10 Hg 0.500 0.500 0.899

Output
**V**: 266.5 Å³ per cell
**DOS at the Fermi energy**: 4.0 states/eV per cell
**DFT total energy**: -0.841 eV per atom
**ΔE_f**: -0.091 eV/atom
**Magnetic moment**: 0.000 μB/cell
**Relative energy among the computed polymorphs**: 22 meV per atom
**Space group**: I4/mmm, No. 139

No. 6
Entry from Alexandria: a relaxed structure of Na5CdHg3 (PBE).

Cell lengths 9.252, 9.252, 6.546 Å; angles 90.00, 90.00, 120.00 degrees
Fractional coordinates of all 18 atoms:
1 Na 0.000 0.304 0.250
2 Na 0.000 0.696 0.750
3 Na 0.304 0.000 0.250
4 Na 0.304 0.304 0.750
5 Na 0.333 0.667 0.000
6 Na 0.333 0.667 0.500
7 Na 0.667 0.333 0.000
8 Na 0.667 0.333 0.500
9 Na 0.696 0.000 0.750
10 Na 0.696 0.696 0.250
11 Cd 0.000 0.000 0.000
12 Cd 0.000 0.000 0.500
13 Hg 0.000 0.360 0.750
14 Hg 0.000 0.640 0.250
15 Hg 0.360 0.000 0.750
16 Hg 0.360 0.360 0.250
17 Hg 0.640 0.000 0.250
18 Hg 0.640 0.640 0.750

Output
**V**: 485.4 Å³ per cell
**DOS at the Fermi energy**: 7.3 states/eV per cell
**DFT total energy**: -1.110 eV per atom
**ΔE_f**: -0.175 eV/atom
**Magnetic moment**: 0.000 μB/cell
**Space group**: P6_3/mcm, No. 193

No. 7
Entry from Alexandria: a relaxed structure of NaCd2Hg10 (PBE).

Cell lengths 10.894, 8.366, 8.179 Å; angles 82.35, 49.56, 48.08 degrees
Fractional coordinates of all 13 atoms:
1 Na 0.000 0.000 0.000
2 Cd 0.000 0.000 0.500
3 Cd 0.500 0.500 0.000
4 Hg 0.000 0.500 0.000
5 Hg 0.005 0.647 0.353
6 Hg 0.295 0.502 0.498
7 Hg 0.353 0.995 0.005
8 Hg 0.498 0.705 0.295
9 Hg 0.500 0.000 0.500
10 Hg 0.502 0.295 0.705
11 Hg 0.647 0.005 0.995
12 Hg 0.705 0.498 0.502
13 Hg 0.995 0.353 0.647

Output
**V**: 358.0 Å³ per cell
**DOS at the Fermi energy**: 3.8 states/eV per cell
**DFT total energy**: -0.486 eV per atom
**ΔE_f**: -0.012 eV/atom
**Magnetic moment**: 0.000 μB/cell
**Space group**: Fmmm, No. 69

No. 8
Entry from Alexandria: a relaxed structure of NaCdHg (PBE).

Cell lengths 10.877, 4.649, 6.221 Å; angles 90.00, 90.45, 90.00 degrees
Fractional coordinates of all 12 atoms:
1 Na 0.197 0.000 0.251
2 Na 0.303 0.500 0.749
3 Na 0.697 0.500 0.251
4 Na 0.803 0.000 0.749
5 Cd 0.000 0.500 0.000
6 Cd 0.000 0.500 0.500
7 Cd 0.500 0.000 0.000
8 Cd 0.500 0.000 0.500
9 Hg 0.109 0.000 0.751
10 Hg 0.391 0.500 0.249
11 Hg 0.609 0.500 0.751
12 Hg 0.891 0.000 0.249

Output
**V**: 314.6 Å³ per cell
**DOS at the Fermi energy**: 5.2 states/eV per cell
**DFT total energy**: -1.009 eV per atom
**ΔE_f**: -0.164 eV/atom
**Magnetic moment**: 0.000 μB/cell
**Relative energy among the computed polymorphs**: 20 meV per atom
**Space group**: C2/m, No. 12

No. 9
Entry from Alexandria: a relaxed structure of Na6CdHg3 (PBE).

Cell lengths 9.011, 5.405, 11.882 Å; angles 90.00, 110.96, 90.00 degrees
Fractional coordinates of all 20 atoms:
1 Na 0.002 0.250 0.343
2 Na 0.012 0.750 0.170
3 Na 0.216 0.250 0.635
4 Na 0.220 0.750 0.983
5 Na 0.399 0.250 0.426
6 Na 0.433 0.750 0.780
7 Na 0.567 0.250 0.220
8 Na 0.601 0.750 0.574
9 Na 0.780 0.250 0.017
10 Na 0.784 0.750 0.365
11 Na 0.988 0.250 0.830
12 Na 0.998 0.750 0.657
13 Cd 0.395 0.250 0.933
14 Cd 0.605 0.750 0.067
15 Hg 0.187 0.250 0.124
16 Hg 0.201 0.750 0.473
17 Hg 0.392 0.750 0.271
18 Hg 0.608 0.250 0.729
19 Hg 0.799 0.250 0.527
20 Hg 0.813 0.750 0.876

Output
**V**: 540.4 Å³ per cell
**DOS at the Fermi energy**: 7.7 states/eV per cell
**DFT total energy**: -1.142 eV per atom
**ΔE_f**: -0.169 eV/atom
**Magnetic moment**: 0.000 μB/cell
**Relative energy among the computed polymorphs**: 0 meV per atom
**Space group**: P2_1/m, No. 11

No. 10
Entry from Alexandria: a relaxed structure of Na2Cd3Hg7 (PBE).

Cell lengths 12.874, 12.874, 4.930 Å; angles 90.00, 90.00, 156.58 degrees
Fractional coordinates of all 12 atoms:
1 Na 0.153 0.847 0.000
2 Na 0.847 0.153 0.000
3 Cd 0.349 0.651 0.500
4 Cd 0.500 0.500 0.500
5 Cd 0.651 0.349 0.500
6 Hg 0.000 0.000 0.000
7 Hg 0.079 0.921 0.500
8 Hg 0.278 0.722 0.000
9 Hg 0.424 0.576 0.000
10 Hg 0.576 0.424 0.000
11 Hg 0.722 0.278 0.000
12 Hg 0.921 0.079 0.500

Output
**V**: 324.8 Å³ per cell
**DOS at the Fermi energy**: 3.6 states/eV per cell
**DFT total energy**: -0.693 eV per atom
**ΔE_f**: -0.068 eV/atom
**Magnetic moment**: 0.000 μB/cell
**Space group**: Cmmm, No. 65